Entry 1:
Here is a relaxed structure of Ho2Co5GeB2 from the Alexandria database. Energies are from PBE-GGA.

Cell: 8.9092 8.9092 3.0807 Å, 90.00 90.00 90.00°
Element x y z (fractional)
Ho1 0.1777 0.3223 0.0000
Ho2 0.3223 0.8223 0.0000
Ho3 0.6777 0.1777 0.0000
Ho4 0.8223 0.6777 0.0000
Co1 0.0000 0.5000 0.5000
Co2 0.0680 0.7753 0.5000
Co3 0.2247 0.0680 0.5000
Co4 0.2753 0.5680 0.5000
Co5 0.4320 0.2753 0.5000
Co6 0.5000 0.0000 0.5000
Co7 0.5680 0.7247 0.5000
Co8 0.7247 0.4320 0.5000
Co9 0.7753 0.9320 0.5000
Co10 0.9320 0.2247 0.5000
Ge1 0.0000 0.0000 0.0000
Ge2 0.5000 0.5000 0.0000
B1 0.1168 0.6168 0.0000
B2 0.3832 0.1168 0.0000
B3 0.6168 0.8832 0.0000
B4 0.8832 0.3832 0.0000

Calculated density ... 9.8 g cm⁻³
DOS at the Fermi energy ... 8.74 states/eV per cell
Total magnetic moment ... 0.0 Bohr magnetons per cell
ΔE_f ... -0.4210 eV per atom
Uncorrected energy ... -6.69 eV/atom

***

Entry 2:
Here is a relaxed structure of KHgSe from the Alexandria database. Energies are from PBE-GGA.

Cell: 9.9413 9.4083 7.5877 Å, 70.67 63.26 46.07°
Element x y z (fractional)
K1 0.0210 0.0210 0.7290
K2 0.2710 0.2710 0.9790
K3 0.7290 0.7290 0.0210
K4 0.9790 0.9790 0.2710
Hg1 0.0000 0.5000 0.5000
Hg2 0.5000 0.0000 0.5000
Hg3 0.5000 0.5000 0.0000
Hg4 0.5000 0.5000 0.5000
Se1 0.1369 0.6131 0.6131
Se2 0.3869 0.8631 0.8631
Se3 0.6131 0.1369 0.1369
Se4 0.8631 0.3869 0.3869

Calculated density ... 4.6 g cm⁻³
DOS at the Fermi energy ... 2.24 states/eV per cell
Total magnetic moment ... 0.0 Bohr magnetons per cell
Uncorrected energy ... -2.17 eV/atom
E above lowest polymorph ... 0 meV per atom

***

Entry 3:
Here is a relaxed structure of Tl3Ag2Cl6 from the Alexandria database. Energies are from PBE-GGA.

Cell: 13.7354 13.7354 13.7354 Å, 159.01 159.01 29.85°
Element x y z (fractional)
Tl1 0.0000 0.0000 0.0000
Tl2 0.1866 0.1866 0.0000
Tl3 0.8134 0.8134 0.0000
Ag1 0.4026 0.4026 0.0000
Ag2 0.5974 0.5974 0.0000
Cl1 0.0822 0.5822 0.5000
Cl2 0.2996 0.2996 0.0000
Cl3 0.4178 0.9178 0.5000
Cl4 0.5822 0.0822 0.5000
Cl5 0.7004 0.7004 0.0000
Cl6 0.9178 0.4178 0.5000

Calculated density ... 5.2 g cm⁻³
DOS at the Fermi energy ... 4.09 states/eV per cell
Total magnetic moment ... 0.0 Bohr magnetons per cell
Uncorrected energy ... -2.92 eV/atom

***

Entry 4:
Here is a relaxed structure of La4Pm2Pb3N2 from the Alexandria database. Energies are from PBE-GGA.

Cell: 13.7410 13.7410 13.7410 Å, 159.21 159.21 29.56°
Element x y z (fractional)
La1 0.0866 0.5866 0.5000
La2 0.4134 0.9134 0.5000
La3 0.5866 0.0866 0.5000
La4 0.9134 0.4134 0.5000
Pm1 0.1947 0.1947 0.0000
Pm2 0.8053 0.8053 0.0000
Pb1 0.3204 0.3204 0.0000
Pb2 0.5000 0.5000 0.0000
Pb3 0.6796 0.6796 0.0000
N1 0.1077 0.1077 0.0000
N2 0.8923 0.8923 0.0000

Calculated density ... 7.6 g cm⁻³
DOS at the Fermi energy ... 2.41 states/eV per cell
Total magnetic moment ... 0.0 Bohr magnetons per cell
Uncorrected energy ... -6.04 eV/atom

***

Entry 5:
Here is a relaxed structure of AlAuSN2 from the Alexandria database. Energies are from PBE-GGA.

Cell: 3.6104 3.6104 6.3144 Å, 90.00 90.00 90.00°
Element x y z (fractional)
Al1 0.0000 0.0000 0.0000
Au1 0.5000 0.5000 0.5000
S1 0.0000 0.0000 0.5000
N1 0.0000 0.5000 0.0000
N2 0.5000 0.0000 0.0000

Calculated density ... 5.7 g cm⁻³
DOS at the Fermi energy ... 4.80 states/eV per cell
Total magnetic moment ... 0.0 Bohr magnetons per cell
Uncorrected energy ... -4.73 eV/atom
E above lowest polymorph ... 0 meV per atom

***

Entry 6:
Here is a relaxed structure of Er2TeAs from the Alexandria database. Energies are from PBE-GGA.

Cell: 7.4130 7.4130 7.4130 Å, 32.60 32.60 32.60°
Element x y z (fractional)
Er1 0.2388 0.2388 0.2388
Er2 0.7612 0.7612 0.7612
Te1 0.0000 0.0000 0.0000
As1 0.5000 0.5000 0.5000

Calculated density ... 8.5 g cm⁻³
DOS at the Fermi energy ... 1.61 states/eV per cell
Total magnetic moment ... 0.0 Bohr magnetons per cell
Uncorrected energy ... -5.68 eV/atom
E above lowest polymorph ... 0 meV per atom